[1]
Below is crystalline FeNiIr2 at its relaxed geometry, with properties calculated at the PBE-GGA level.

POSCAR file:
```
FeNiIr2
1.0
2.657 0.020 0.000
-1.293 2.321 0.000
0.000 0.000 8.762
Fe Ir Ni
1 2 1
direct
0.500 0.500 0.740
0.000 0.000 0.988
0.500 0.500 0.261
0.000 0.000 0.511
```

Results
For the polymorph energy (0 for the lowest one), the calculation gives 269 meV per atom. Its density of states at the Fermi level is 6.72 states/eV/cell. The space group is Cmm2. For the size of the total moment, the calculation gives 3.7 Bohr magnetons per cell. The formation enthalpy at 0 K is 0.23 eV/atom.

[2]
Below is crystalline NpPaSn at its relaxed geometry, with properties calculated at the PBE-GGA level.

POSCAR file:
```
NpPaSn
1.0
-3.719 0.156 1.669
1.115 -2.802 2.746
2.718 4.671 0.634
Np Pa Sn
1 1 1
direct
0.352 0.352 0.703
0.649 0.649 0.298
0.999 0.999 0.999
```

Results
For the polymorph energy (0 for the lowest one), the calculation gives 0 meV per atom. Its density of states at the Fermi level is 8.71 states/eV/cell. The space group is I4mm. For the size of the total moment, the calculation gives 5.3 Bohr magnetons per cell. The formation enthalpy at 0 K is 0.00 eV/atom.

[3]
Below is crystalline Sr2Pd2Rh at its relaxed geometry, with properties calculated at the PBE-GGA level.

POSCAR file:
```
Sr2Pd2Rh
1.0
7.168 0.000 0.000
0.000 7.168 0.000
0.000 0.000 4.533
Sr Rh Pd
4 2 4
direct
0.180 0.680 0.500
0.680 0.820 0.500
0.820 0.320 0.500
0.320 0.180 0.500
0.000 0.000 0.000
0.500 0.500 0.000
0.368 0.868 0.000
0.868 0.632 0.000
0.632 0.132 0.000
0.132 0.368 0.000
```

Results
Its density of states at the Fermi level is 8.44 states/eV/cell. The space group is P4/mbm. For the size of the total moment, the calculation gives 0.0 Bohr magnetons per cell. The formation enthalpy at 0 K is -0.32 eV/atom.

[4]
Below is crystalline Na2VSe3 at its relaxed geometry, with properties calculated at the PBE-GGA level.

POSCAR file:
```
Na2VSe3
1.0
-0.391 -0.763 3.879
-8.063 -4.467 -1.692
8.290 -14.221 -1.961
Na V Se
8 4 12
direct
0.250 0.226 0.956
0.750 0.774 0.044
0.750 0.274 0.456
0.250 0.726 0.544
0.750 0.064 0.711
0.250 0.936 0.289
0.250 0.436 0.211
0.750 0.564 0.789
0.250 0.352 0.641
0.750 0.648 0.359
0.750 0.148 0.141
0.250 0.852 0.859
0.250 0.309 0.777
0.750 0.691 0.223
0.750 0.191 0.277
0.250 0.809 0.723
0.750 0.990 0.895
0.250 0.010 0.105
0.250 0.510 0.395
0.750 0.490 0.605
0.250 0.143 0.569
0.750 0.857 0.431
0.750 0.357 0.069
0.250 0.643 0.931
```

Results
The calculation puts the uncorrected formation energy at -862.3 meV per atom. Its density of states at the Fermi level is 4.15 states/eV/cell. The space group is Pnma. For the size of the total moment, the calculation gives 4.0 Bohr magnetons per cell.

[5]
Below is crystalline CsRbTl2I4 at its relaxed geometry, with properties calculated at the PBE-GGA level.

POSCAR file:
```
CsRbTl2I4
1.0
5.237 0.000 0.000
0.000 9.015 -0.162
0.000 3.190 8.472
Cs Rb Tl I
1 1 2 4
direct
0.500 0.500 0.000
0.000 0.500 0.500
0.000 0.000 0.000
0.500 0.000 0.500
0.000 0.771 0.736
0.000 0.229 0.264
0.500 0.766 0.251
0.500 0.234 0.749
```

Results
The calculation puts the uncorrected formation energy at -1085.1 meV per atom. Its density of states at the Fermi level is 0.00 states/eV/cell. The space group is P2/m. For the size of the total moment, the calculation gives 0.0 Bohr magnetons per cell.

[6]
Below is crystalline AlAg3 at its relaxed geometry, with properties calculated at the PBE-GGA level.

POSCAR file:
```
AlAg3
1.0
-0.184 3.234 3.275
-3.781 0.439 2.594
0.101 -1.212 4.443
Al Ag
1 3
direct
0.750 0.750 0.750
0.000 0.000 0.000
0.250 0.250 0.250
0.500 0.500 0.500
```

Results
Its density of states at the Fermi level is 1.60 states/eV/cell. The space group is Fm-3m. For the size of the total moment, the calculation gives 0.0 Bohr magnetons per cell. The formation enthalpy at 0 K is -0.01 eV/atom.

[7]
Below is crystalline Sr2TaAs2 at its relaxed geometry, with properties calculated at the PBE-GGA level.

POSCAR file:
```
Sr2TaAs2
1.0
7.313 0.000 0.000
0.000 7.313 0.000
0.000 0.000 4.683
Sr As Ta
4 4 2
direct
0.157 0.657 0.500
0.657 0.843 0.500
0.843 0.343 0.500
0.343 0.157 0.500
0.337 0.837 0.000
0.837 0.663 0.000
0.663 0.163 0.000
0.163 0.337 0.000
0.000 0.000 0.000
0.500 0.500 0.000
```

Results
Its density of states at the Fermi level is 8.17 states/eV/cell. The space group is P4/mbm. For the size of the total moment, the calculation gives 0.0 Bohr magnetons per cell. The formation enthalpy at 0 K is -0.47 eV/atom.

[8]
Below is crystalline Tl2TcMo at its relaxed geometry, with properties calculated at the PBE-GGA level.

POSCAR file:
```
Tl2TcMo
1.0
5.219 0.046 0.000
1.806 4.897 0.000
-3.513 -2.472 2.966
Mo Tc Tl
1 1 2
direct
0.500 0.500 0.000
0.750 0.250 0.500
0.000 0.000 0.000
0.250 0.750 0.500
```

Results
For the polymorph energy (0 for the lowest one), the calculation gives 548 meV per atom. Its density of states at the Fermi level is 4.64 states/eV/cell. The space group is I-4m2. For the size of the total moment, the calculation gives 0.0 Bohr magnetons per cell. The formation enthalpy at 0 K is 0.91 eV/atom.

[9]
Below is crystalline Ca2Ni4GeSb3 at its relaxed geometry, with properties calculated at the PBE-GGA level.

POSCAR file:
```
Ca2Ni4GeSb3
1.0
-1.215 -3.965 1.270
3.221 -1.733 -2.330
6.208 0.682 8.074
Ca Ni Ge Sb
2 4 1 3
direct
0.500 0.000 0.248
0.000 0.500 0.752
0.500 0.500 0.000
0.000 0.000 0.000
0.500 0.000 0.622
0.000 0.500 0.378
0.500 0.500 0.500
0.000 0.000 0.500
0.500 0.000 0.868
0.000 0.500 0.132
```

Results
The calculation puts the uncorrected formation energy at -521.9 meV per atom. Its density of states at the Fermi level is 5.94 states/eV/cell. The space group is P-4m2. For the size of the total moment, the calculation gives 0.0 Bohr magnetons per cell.

[10]
Below is crystalline La3TbY12 at its relaxed geometry, with properties calculated at the PBE-GGA level.

POSCAR file:
```
La3TbY12
1.0
-2.525 4.417 0.359
-3.761 -2.355 2.515
9.383 3.925 17.707
La Tb Y
3 1 12
direct
0.000 0.000 0.250
0.000 0.000 0.500
0.000 0.000 0.750
0.000 0.000 0.000
0.500 0.500 0.000
0.500 0.500 0.248
0.500 0.500 0.500
0.500 0.500 0.752
0.500 0.000 0.122
0.500 0.000 0.374
0.500 0.000 0.626
0.500 0.000 0.878
0.000 0.500 0.122
0.000 0.500 0.374
0.000 0.500 0.626
0.000 0.500 0.878
```

Results
Its density of states at the Fermi level is 26.58 states/eV/cell. The space group is P4/mmm. For the size of the total moment, the calculation gives 0.0 Bohr magnetons per cell. The formation enthalpy at 0 K is 0.03 eV/atom.

[11]
Below is crystalline NaMg2Cd2 at its relaxed geometry, with properties calculated at the PBE-GGA level.

POSCAR file:
```
NaMg2Cd2
1.0
8.737 0.000 0.000
0.000 8.737 0.000
0.000 0.000 3.137
Na Mg Cd
2 4 4
direct
0.000 0.000 0.000
0.500 0.500 0.000
0.374 0.874 0.000
0.874 0.626 0.000
0.626 0.126 0.000
0.126 0.374 0.000
0.171 0.671 0.500
0.671 0.829 0.500
0.829 0.329 0.500
0.329 0.171 0.500
```

Results
For the polymorph energy (0 for the lowest one), the calculation gives 0 meV per atom. Its density of states at the Fermi level is 2.78 states/eV/cell. The space group is P4/mbm. For the size of the total moment, the calculation gives 0.0 Bohr magnetons per cell. The formation enthalpy at 0 K is -0.08 eV/atom.

[12]
Below is crystalline LiCuSbO4 at its relaxed geometry, with properties calculated at the PBE-GGA level.

POSCAR file:
```
LiCuSbO4
1.0
6.304 0.095 0.017
0.589 6.277 -0.017
-3.318 -3.325 4.206
Li Cu Sb O
2 2 2 8
direct
0.907 0.157 0.750
0.093 0.843 0.250
0.500 0.000 0.000
0.500 0.500 0.500
0.000 0.500 0.500
0.500 0.500 0.000
0.757 0.286 0.470
0.765 0.282 0.018
0.765 0.747 0.482
0.316 0.286 0.030
0.684 0.714 0.970
0.235 0.718 0.982
0.235 0.253 0.518
0.243 0.714 0.530
```

Results
The calculation puts the uncorrected formation energy at -1338.9 meV per atom. For the polymorph energy (0 for the lowest one), the calculation gives 5 meV per atom. The space group is Imma. For the size of the total moment, the calculation gives 2.0 Bohr magnetons per cell.

Copy entry 5 word for word.
Below is crystalline CsRbTl2I4 at its relaxed geometry, with properties calculated at the PBE-GGA level.

POSCAR file:
```
CsRbTl2I4
1.0
5.237 0.000 0.000
0.000 9.015 -0.162
0.000 3.190 8.472
Cs Rb Tl I
1 1 2 4
direct
0.500 0.500 0.000
0.000 0.500 0.500
0.000 0.000 0.000
0.500 0.000 0.500
0.000 0.771 0.736
0.000 0.229 0.264
0.500 0.766 0.251
0.500 0.234 0.749
```

Results
The calculation puts the uncorrected formation energy at -1085.1 meV per atom. Its density of states at the Fermi level is 0.00 states/eV/cell. The space group is P2/m. For the size of the total moment, the calculation gives 0.0 Bohr magnetons per cell.